Record 1
This record from Alexandria describes a relaxed structure of CaYSc2Ir. The functional is PBE.

Lattice parameters (Å, degrees): 5.1646 5.1646 5.4620 90.00 90.00 90.00
Closest atoms and distances in Å follow each position.
Fractional coordinates of all 5 atoms:
Y 0.0000 0.0000 0.5000  2 Ir 2.73
Sc 0.0000 0.5000 0.0000  2 Ir 2.58
Sc 0.5000 0.0000 0.0000  2 Ir 2.58
Ca 0.5000 0.5000 0.5000  4 Y 3.65, 8 Sc 3.76
Ir 0.0000 0.0000 0.0000  4 Sc 2.58, 2 Y 2.73

Values from the calculation:
Total energy in eV per cell: -31.5
Size of the total moment in μB per formula unit: 0.00
ΔH_f (0 K) in eV per atom: -0.3100

***

Record 2
This record from Alexandria describes a relaxed structure of Rb3Tm2ThTe6. The functional is PBE.

Lattice parameters (Å, degrees): 7.7821 7.7821 8.9968 98.30 98.30 120.00
Closest atoms and distances in Å follow each position.
Fractional coordinates of all 12 atoms:
Rb 0.1647 0.8353 0.5000  6 Te 3.63-3.67
Rb 0.8353 0.1647 0.5000  6 Te 3.63-3.67
Rb 0.5000 0.5000 0.5000  6 Te 3.62-3.67
Tm 0.3331 0.6669 0.0000  6 Te 3.10
Tm 0.6669 0.3331 0.0000  6 Te 3.10
Th 0.0000 0.0000 0.0000  6 Te 3.16-3.17
Te 0.9327 0.5923 0.7984  2 Tm 3.10, 1 Th 3.17
Te 0.7264 0.7264 0.2008  2 Tm 3.10, 1 Th 3.16
Te 0.0673 0.4077 0.2016  2 Tm 3.10, 1 Th 3.17
Te 0.5923 0.9327 0.7984  2 Tm 3.10, 1 Th 3.17
Te 0.2736 0.2736 0.7992  2 Tm 3.10, 1 Th 3.16
Te 0.4077 0.0673 0.2016  2 Tm 3.10, 1 Th 3.17

Values from the calculation:
E_form (uncorrected) in meV/atom: -1281
Total energy in eV per cell: -53.5
Size of the total moment in μB per formula unit: 0.00

***

The following volume values (in Å³/cell) correspond, in order, to the records above: 145.7 451.8.
The following DOS(E_F) values (in states/eV/cell) correspond, in order, to the records above: 6.0 4.6.